This record from the Alexandria database describes an optimized crystal structure of CaGa4RuPt2. The functional is GGA-PBE.

Output
Total DFT energy (no corrections), eV per atom: -5.0186
Size of the total moment, μB per atom: 0.000
DFT formation energy, meV/atom: -585

Structure (CIF):
```
data_CaGa4RuPt2
_chemical_formula_sum 'Ca3 Ga12 Ru3 Pt6'
_cell_length_a 4.2642
_cell_length_b 4.2642
_cell_length_c 26.7947
_cell_angle_alpha 90.00
_cell_angle_beta 90.00
_cell_angle_gamma 120.00
_symmetry_space_group_name_H-M 'R -3 m'
_symmetry_Int_Tables_number 166
_symmetry_space_group_name_Hall '-R 3 2"'
loop_
_atom_site_label
_atom_site_type_symbol
_atom_site_fract_x
_atom_site_fract_y
_atom_site_fract_z
Ca1 Ca 0.0000 0.0000 0.0000
Ga1 Ga 0.0000 0.0000 0.1332
Ga2 Ga 0.0000 0.0000 0.4010
Ru1 Ru 0.0000 0.0000 0.5000
Pt1 Pt 0.0000 0.0000 0.2362
```